The following is a PBE-GGA calculation of a relaxed LiNi5P3 crystal, from Alexandria.

* energy relative to the elements: -0.523 eV per atom
* space group: No. 63

Lattice parameters (Å, degrees): 6.1350 6.1350 11.4038 90.00 90.00 146.87
Last column: nearest neighbours and their distance in Å.
Sites, in units of the cell vectors:
1 Li 0.1208 0.8792 0.7500  5 P 2.82-2.92, 4 Ni 2.92
2 Li 0.8792 0.1208 0.2500  5 P 2.82-2.92, 4 Ni 2.92
3 Ni 0.0000 0.0000 0.0000  4 P 2.30, 6 Ni 2.47
4 Ni 0.0000 0.0000 0.5000  4 P 2.30, 6 Ni 2.47
5 Ni 0.1994 0.8006 0.0692  4 P 2.15-2.38
6 Ni 0.1994 0.8006 0.4308  4 P 2.15-2.38
7 Ni 0.4497 0.5503 0.6444  4 P 2.27-2.31, 3 Ni 2.41-2.47
8 Ni 0.4497 0.5503 0.8556  4 P 2.27-2.31, 3 Ni 2.41-2.47
9 Ni 0.5503 0.4497 0.1444  4 P 2.27-2.31, 3 Ni 2.41-2.47
10 Ni 0.5503 0.4497 0.3556  4 P 2.27-2.31, 3 Ni 2.41-2.47
11 Ni 0.8006 0.1994 0.5692  4 P 2.15-2.38
12 Ni 0.8006 0.1994 0.9308  4 P 2.15-2.38
13 P 0.1191 0.8809 0.2500  6 Ni 2.27
14 P 0.3811 0.6189 0.0450  7 Ni 2.15-2.38
15 P 0.3811 0.6189 0.4550  7 Ni 2.15-2.38
16 P 0.6189 0.3811 0.5450  7 Ni 2.15-2.38
17 P 0.6189 0.3811 0.9550  7 Ni 2.15-2.38
18 P 0.8809 0.1191 0.7500  6 Ni 2.27

=====

The following is a PBE-GGA calculation of a relaxed Ir2CF crystal, from Alexandria.

* energy relative to the elements, uncorrected: 434 meV/atom
* energy above the lowest structure with this stoichiometry: 0 meV per atom
* space group: No. 122

Lattice parameters (Å, degrees): 6.0265 6.0265 6.0265 132.69 132.69 69.14
Last column: nearest neighbours and their distance in Å.
Sites, in units of the cell vectors:
1 Ir 0.0500 0.6250 0.9250  2 C 1.93
2 Ir 0.3750 0.3000 0.4250  2 C 1.93
3 Ir 0.7000 0.1250 0.0750  2 C 1.93
4 Ir 0.8750 0.9500 0.5750  2 C 1.93
5 C 0.0000 0.0000 0.0000  4 Ir 1.93
6 C 0.7500 0.2500 0.5000  4 Ir 1.93
7 F 0.2500 0.7500 0.5000  4 Ir 2.34
8 F 0.5000 0.5000 0.0000  4 Ir 2.34

=====

The following is a PBE-GGA calculation of a relaxed TcTeSe2 crystal, from Alexandria.

* energy relative to the elements, uncorrected: -7 meV/atom
* space group: No. 15

Lattice parameters (Å, degrees): 8.2772 8.2772 12.7724 95.83 95.83 90.15
Last column: nearest neighbours and their distance in Å.
Sites, in units of the cell vectors:
1 Tc 0.0999 0.7135 0.8087  6 Se 2.51-2.75
2 Tc 0.1472 0.2290 0.8639  4 Se 2.40-2.67, 1 Te 2.65
3 Tc 0.2290 0.1472 0.3639  4 Se 2.40-2.67, 1 Te 2.65
4 Tc 0.2865 0.9001 0.6913  6 Se 2.51-2.75
5 Tc 0.7135 0.0999 0.3087  6 Se 2.51-2.75
6 Tc 0.7710 0.8528 0.6361  4 Se 2.40-2.67, 1 Te 2.65
7 Tc 0.8528 0.7710 0.1361  4 Se 2.40-2.67, 1 Te 2.65
8 Tc 0.9001 0.2865 0.1913  6 Se 2.51-2.75
9 Te 0.0225 0.6093 0.2783  2 Tc 2.65-2.93, 1 Te 2.93
10 Te 0.2411 0.3518 0.2085  2 Tc 2.75-2.85, 1 Se 2.91, 1 Te 2.93
11 Te 0.3518 0.2411 0.7085  2 Tc 2.75-2.85, 1 Se 2.91, 1 Te 2.93
12 Te 0.3907 0.9775 0.2217  2 Tc 2.65-2.93, 1 Te 2.93
13 Te 0.6093 0.0225 0.7783  2 Tc 2.65-2.93, 1 Te 2.93
14 Te 0.6482 0.7589 0.2915  2 Tc 2.75-2.85, 1 Se 2.91, 1 Te 2.93
15 Te 0.7589 0.6482 0.7915  2 Tc 2.75-2.85, 1 Se 2.91, 1 Te 2.93
16 Te 0.9775 0.3907 0.7217  2 Tc 2.65-2.93, 1 Te 2.93
17 Se 0.0053 0.9947 0.7500  4 Tc 2.51-2.62
18 Se 0.0464 0.6960 0.6071  3 Tc 2.56-2.67
19 Se 0.0710 0.1466 0.0330  2 Tc 2.47-2.75, 1 Se 2.71
20 Se 0.1466 0.0710 0.5330  2 Tc 2.47-2.75, 1 Se 2.71
21 Se 0.1667 0.5033 0.9462  2 Tc 2.40-2.62
22 Se 0.3040 0.9536 0.8929  3 Tc 2.56-2.67
23 Se 0.3700 0.6300 0.7500  2 Tc 2.51
24 Se 0.4967 0.8333 0.5538  2 Tc 2.40-2.62
25 Se 0.5033 0.1667 0.4462  2 Tc 2.40-2.62
26 Se 0.6300 0.3700 0.2500  2 Tc 2.51
27 Se 0.6960 0.0464 0.1071  3 Tc 2.56-2.67
28 Se 0.8333 0.4967 0.0538  2 Tc 2.40-2.62
29 Se 0.8534 0.9290 0.4670  2 Tc 2.47-2.75, 1 Se 2.71
30 Se 0.9290 0.8534 0.9670  2 Tc 2.47-2.75, 1 Se 2.71
31 Se 0.9536 0.3040 0.3929  3 Tc 2.56-2.67
32 Se 0.9947 0.0053 0.2500  4 Tc 2.51-2.62

=====

The following is a PBE-GGA calculation of a relaxed KZnB2 crystal, from Alexandria.

* energy relative to the elements: 1.058 eV per atom
* space group: No. 141

Lattice parameters (Å, degrees): 8.1443 8.1443 8.1443 150.55 150.55 42.14
Last column: nearest neighbours and their distance in Å.
Sites, in units of the cell vectors:
1 K 0.3750 0.6250 0.7500  4 Zn 2.93, 8 B 2.99
2 K 0.6250 0.3750 0.2500  4 Zn 2.93, 8 B 2.99
3 Zn 0.1250 0.8750 0.2500  4 B 2.16
4 Zn 0.8750 0.1250 0.7500  4 B 2.16
5 B 0.0000 0.0000 0.0000  2 B 2.07, 2 Zn 2.16
6 B 0.0000 0.0000 0.5000  2 B 2.07, 2 Zn 2.16
7 B 0.0000 0.5000 0.0000  2 B 2.07, 2 Zn 2.16
8 B 0.5000 0.0000 0.5000  2 B 2.07, 2 Zn 2.16

=====

The following is a PBE-GGA calculation of a relaxed BaY2Sc crystal, from Alexandria.

* energy relative to the elements: 0.250 eV per atom
* energy above the lowest structure with this stoichiometry: 97 meV per atom
* space group: No. 12

Lattice parameters (Å, degrees): 6.8983 6.8983 6.0212 113.50 113.50 32.55
Last column: nearest neighbours and their distance in Å.
Sites, in units of the cell vectors:
1 Ba 0.0000 0.0000 0.0000  4 Sc 3.58, 6 Y 3.85-3.95, 2 Ba 3.87
2 Y 0.2234 0.2234 0.7239  2 Sc 3.32, 4 Y 3.62-3.65
3 Y 0.7766 0.7766 0.2761  2 Sc 3.32, 4 Y 3.62-3.65
4 Sc 0.5000 0.5000 0.5000  4 Y 3.32, 4 Ba 3.58

=====

The following is a PBE-GGA calculation of a relaxed AcPrZn2 crystal, from Alexandria.

* energy relative to the elements: -0.263 eV per atom
* space group: No. 123

Lattice parameters (Å, degrees): 3.8133 3.8133 7.6214 90.00 90.00 90.00
Last column: nearest neighbours and their distance in Å.
Sites, in units of the cell vectors:
1 Ac 0.0000 0.0000 0.0000  8 Zn 3.40
2 Pr 0.0000 0.0000 0.5000  8 Zn 3.21
3 Zn 0.5000 0.5000 0.2723  4 Pr 3.21, 4 Ac 3.40, 1 Zn 3.47
4 Zn 0.5000 0.5000 0.7277  4 Pr 3.21, 4 Ac 3.40, 1 Zn 3.47